# 1
Density functional theory data (PBE) for an optimized crystal structure of NaPmGaSb.

```
data_NaPmGaSb
_space_group_name_H-M_alt 'P 1'
_space_group_IT_number 1
_space_group_name_Hall 'P 1'
_cell_length_a 5.2874
_cell_length_b 5.2874
_cell_length_c 5.2874
_cell_angle_alpha 60.00
_cell_angle_beta 60.00
_cell_angle_gamma 60.00
loop_
_atom_site_label
_atom_site_fract_x
_atom_site_fract_y
_atom_site_fract_z
Pm1 0.0000 0.0000 0.0000
Na1 0.5000 0.5000 0.5000
Sb1 0.7500 0.7500 0.7500
Ga1 0.2500 0.2500 0.2500
```

Results
- crystal system = cubic
- total DFT energy (no corrections) (eV per cell) = -14.74
- total moment (μB/cell) = 0.00



# 2
Density functional theory data (PBE) for an optimized crystal structure of BiIr2WI.

```
data_BiIr2WI
_space_group_name_H-M_alt 'P 1'
_space_group_IT_number 1
_space_group_name_Hall 'P 1'
_cell_length_a 4.8048
_cell_length_b 5.6574
_cell_length_c 4.8048
_cell_angle_alpha 90.00
_cell_angle_beta 90.00
_cell_angle_gamma 90.00
loop_
_atom_site_label
_atom_site_fract_x
_atom_site_fract_y
_atom_site_fract_z
I1 0.5000 0.5000 0.5000
Ir1 0.0000 0.0000 0.5000
W1 0.0000 0.0000 0.0000
Bi1 0.0000 0.5000 0.0000
Ir2 0.5000 0.0000 0.0000
```

Results
- crystal system = tetragonal
- total DFT energy (no corrections) (eV per cell) = -29.11
- total moment (μB/cell) = 0.00



# 3
Density functional theory data (PBE) for an optimized crystal structure of K2MgV.

```
data_K2MgV
_space_group_name_H-M_alt 'P 1'
_space_group_IT_number 1
_space_group_name_Hall 'P 1'
_cell_length_a 9.7689
_cell_length_b 9.7689
_cell_length_c 7.6163
_cell_angle_alpha 50.11
_cell_angle_beta 50.11
_cell_angle_gamma 90.00
loop_
_atom_site_label
_atom_site_fract_x
_atom_site_fract_y
_atom_site_fract_z
K1 0.1146 0.6250 0.2500
Mg1 0.5000 0.5000 0.0000
V1 0.0000 0.0000 0.0000
Mg2 0.2500 0.7500 0.5000
K2 0.8750 0.8854 0.7500
K3 0.3750 0.3646 0.7500
V2 0.7500 0.2500 0.5000
K4 0.6354 0.1250 0.2500
```

Results
- crystal system = tetragonal
- energy of formation from the pure elements (eV/atom) = 0.99
- total DFT energy (no corrections) (eV per cell) = -17.91
- total moment (μB/cell) = 9.18



# 4
Density functional theory data (PBE) for an optimized crystal structure of SrAc5Ge3.

```
data_SrAc5Ge3
_space_group_name_H-M_alt 'P 1'
_space_group_IT_number 1
_space_group_name_Hall 'P 1'
_cell_length_a 8.7941
_cell_length_b 8.7941
_cell_length_c 11.5648
_cell_angle_alpha 69.54
_cell_angle_beta 69.54
_cell_angle_gamma 74.90
loop_
_atom_site_label
_atom_site_fract_x
_atom_site_fract_y
_atom_site_fract_z
Ge1 0.6627 0.6627 0.3422
Ac1 0.5663 0.5663 0.6422
Ge2 0.3295 0.3295 0.1658
Sr1 0.9018 0.9018 0.3049
Ac2 0.7047 0.2953 0.0000
Ge3 0.3373 0.3373 0.6578
Ac3 0.7633 0.7633 0.0375
Ge4 0.0000 0.0000 0.0000
Ac4 0.9576 0.3694 0.3291
Ge5 0.6705 0.6705 0.8342
Ac5 0.3694 0.9576 0.3291
Ac6 0.2953 0.7047 0.0000
Ac7 0.6306 0.0424 0.6709
Ac8 0.2367 0.2367 0.9625
Ge6 0.0000 0.0000 0.5000
Ac9 0.4337 0.4337 0.3578
Ac10 0.0424 0.6306 0.6709
Sr2 0.0982 0.0982 0.6951
```

Results
- crystal system = monoclinic
- energy of formation from the pure elements (eV/atom) = -0.34
- total DFT energy (no corrections) (eV per cell) = -78.23
- total moment (μB/cell) = 0.00